Record 1
First-principles (PBE) data for an optimized crystal structure of LiTa2Mn, as listed in the Alexandria database. Values from VASP.

The structure in Quantum ESPRESSO input format:
```
&SYSTEM
  ibrav = 0, nat = 4, ntyp = 3
/
ATOMIC_SPECIES
Li 6.94 Li.upf
Ta 180.95 Ta.upf
Mn 54.94 Mn.upf
ATOMIC_POSITIONS crystal
Li 0.000 0.000 0.000
Ta 0.439 0.500 0.729
Ta 0.561 0.500 0.271
Mn 0.000 0.000 0.500
CELL_PARAMETERS angstrom
2.780 0.000 0.000
0.000 3.967 0.000
-1.233 0.000 5.606
```

Summary:
Space-group type: P2/m, No. 10
VASP energy, eV/atom: -8.3878
Crystal system: monoclinic
Energy relative to the elements, eV/f.u.: 1.237
Energy relative to the lowest polymorph listed for this composition, eV per atom: 0.170

***

Record 2
First-principles (PBE) data for an optimized crystal structure of LiTa2Mn, as listed in the Alexandria database. Values from VASP.

The structure in Quantum ESPRESSO input format:
```
&SYSTEM
  ibrav = 0, nat = 8, ntyp = 3
/
ATOMIC_SPECIES
Li 6.94 Li.upf
Ta 180.95 Ta.upf
Mn 54.94 Mn.upf
ATOMIC_POSITIONS crystal
Li 0.000 0.000 0.000
Li 0.500 0.500 0.000
Ta 0.000 0.000 0.470
Ta 0.000 0.500 0.724
Ta 0.500 0.000 0.724
Ta 0.500 0.500 0.470
Mn 0.000 0.500 0.246
Mn 0.500 0.000 0.246
CELL_PARAMETERS angstrom
3.318 0.000 0.000
0.000 4.450 0.000
0.000 0.000 9.260
```

Summary:
Space-group type: Cmm2, No. 35
VASP energy, eV/atom: -8.4234
Crystal system: orthorhombic
Energy relative to the elements, eV/f.u.: 1.095
Energy relative to the lowest polymorph listed for this composition, eV per atom: 0.134

***

Record 3
First-principles (PBE) data for an optimized crystal structure of Li3TaMn, as listed in the Alexandria database. Values from VASP.

The structure in Quantum ESPRESSO input format:
```
&SYSTEM
  ibrav = 0, nat = 5, ntyp = 3
/
ATOMIC_SPECIES
Li 6.94 Li.upf
Ta 180.95 Ta.upf
Mn 54.94 Mn.upf
ATOMIC_POSITIONS crystal
Li 0.000 0.000 0.500
Li 0.000 0.500 0.000
Li 0.500 0.000 0.000
Ta 0.500 0.500 0.500
Mn 0.000 0.000 0.000
CELL_PARAMETERS angstrom
4.161 0.000 0.000
0.000 4.161 0.000
0.000 0.000 4.161
```

Summary:
Space-group type: Pm-3m, No. 221
VASP energy, eV/atom: -3.8712
Crystal system: cubic
Energy relative to the elements, eV/f.u.: 7.408
Energy relative to the lowest polymorph listed for this composition, eV per atom: 0.000

***

Record 4
First-principles (PBE) data for an optimized crystal structure of LiTa2Mn, as listed in the Alexandria database. Values from VASP.

The structure in Quantum ESPRESSO input format:
```
&SYSTEM
  ibrav = 0, nat = 16, ntyp = 3
/
ATOMIC_SPECIES
Li 6.94 Li.upf
Ta 180.95 Ta.upf
Mn 54.94 Mn.upf
ATOMIC_POSITIONS crystal
Li 0.000 0.000 0.000
Li 0.000 0.500 0.500
Li 0.500 0.000 0.500
Li 0.500 0.500 0.000
Ta 0.000 0.000 0.500
Ta 0.000 0.500 0.000
Ta 0.250 0.250 0.250
Ta 0.250 0.750 0.750
Ta 0.500 0.000 0.000
Ta 0.500 0.500 0.500
Ta 0.750 0.250 0.750
Ta 0.750 0.750 0.250
Mn 0.250 0.250 0.750
Mn 0.250 0.750 0.250
Mn 0.750 0.250 0.250
Mn 0.750 0.750 0.750
CELL_PARAMETERS angstrom
6.287 0.000 0.000
0.000 6.287 0.000
0.000 0.000 6.287
```

Summary:
Space-group type: F-43m, No. 216
VASP energy, eV/atom: -8.2369
Crystal system: cubic
Energy relative to the elements, eV/f.u.: 1.841
Energy relative to the lowest polymorph listed for this composition, eV per atom: 0.321